(1)
Density functional theory data (PBE) for a geometry-optimized Sc2TeS structure.

Properties
* symmetry: Pbcm (57)
* distance to the lowest polymorph of the same formula: 70.7 meV per atom
* raw total energy: -6.445 eV/atom
* formation energy (no corrections): -5.847 eV/f.u.

Cell: 7.9374 6.6646 6.5935 Å, 90.00 90.00 90.00°
Element x y z (fractional)
Sc 0.0965 0.2500 0.0000
Sc 0.0965 0.2500 0.5000
Sc 0.3266 0.7500 0.0000
Sc 0.3266 0.7500 0.5000
Sc 0.6734 0.2500 0.0000
Sc 0.6734 0.2500 0.5000
Sc 0.9035 0.7500 0.0000
Sc 0.9035 0.7500 0.5000
Te 0.3783 0.0998 0.2500
Te 0.3783 0.4002 0.7500
Te 0.6217 0.5998 0.2500
Te 0.6217 0.9002 0.7500
S 0.1160 0.5785 0.2500
S 0.1160 0.9215 0.7500
S 0.8840 0.0785 0.2500
S 0.8840 0.4215 0.7500

=====

(2)
Density functional theory data (PBE) for a geometry-optimized Pm2MnGe6Ir structure.

Properties
* calculated formation energy: -0.226 eV per atom
* symmetry: R-3m (166)
* raw total energy: -5.749 eV/atom

Cell: 9.8904 9.8904 9.8904 Å, 45.23 45.23 45.23°
Element x y z (fractional)
Pm 0.1337 0.1337 0.1337
Pm 0.2831 0.2831 0.2831
Pm 0.7169 0.7169 0.7169
Pm 0.8663 0.8663 0.8663
Mn 0.0000 0.0000 0.0000
Mn 0.5000 0.5000 0.5000
Ge 0.1363 0.6110 0.6110
Ge 0.2010 0.2010 0.7423
Ge 0.2010 0.7423 0.2010
Ge 0.2577 0.7990 0.7990
Ge 0.3890 0.3890 0.8637
Ge 0.3890 0.8637 0.3890
Ge 0.6110 0.1363 0.6110
Ge 0.6110 0.6110 0.1363
Ge 0.7423 0.2010 0.2010
Ge 0.7990 0.2577 0.7990
Ge 0.7990 0.7990 0.2577
Ge 0.8637 0.3890 0.3890
Ir 0.3914 0.3914 0.3914
Ir 0.6086 0.6086 0.6086

=====

(3)
Density functional theory data (PBE) for a geometry-optimized VOs2Pd structure.

Properties
* calculated formation energy: 0.627 eV per atom
* symmetry: I-42d (122)
* distance to the lowest polymorph of the same formula: 671.0 meV per atom
* raw total energy: -8.565 eV/atom

Cell: 9.3530 9.3530 9.3530 Å, 156.78 156.78 33.07°
Element x y z (fractional)
V 0.0000 0.0000 0.0000
V 0.7500 0.2500 0.5000
Os 0.0920 0.6250 0.9670
Os 0.3750 0.3420 0.4670
Os 0.6580 0.1250 0.0330
Os 0.8750 0.9080 0.5330
Pd 0.2500 0.7500 0.5000
Pd 0.5000 0.5000 0.0000

=====

(4)
Density functional theory data (PBE) for a geometry-optimized Th2PaZn structure.

Properties
* calculated formation energy: 0.306 eV per atom
* symmetry: R-3m (166)
* distance to the lowest polymorph of the same formula: 271.3 meV per atom
* raw total energy: -6.097 eV/atom

Cell: 11.7796 11.7796 11.7796 Å, 16.05 16.05 16.05°
Element x y z (fractional)
Th 0.0930 0.0930 0.0930
Th 0.9070 0.9070 0.9070
Pa 0.0000 0.0000 0.0000
Zn 0.5000 0.5000 0.5000

=====

(5)
Density functional theory data (PBE) for a geometry-optimized Na2TeC structure.

Properties
* symmetry: Fm-3m (225)
* distance to the lowest polymorph of the same formula: 244.2 meV per atom
* raw total energy: -2.851 eV/atom
* formation energy (no corrections): 3.601 eV/f.u.

Cell: 5.0755 5.0755 5.0755 Å, 60.00 60.00 60.00°
Element x y z (fractional)
Na 0.2500 0.2500 0.2500
Na 0.7500 0.7500 0.7500
Te 0.0000 0.0000 0.0000
C 0.5000 0.5000 0.5000

=====

(6)
Density functional theory data (PBE) for a geometry-optimized SbSeBr3 structure.

Properties
* symmetry: P2/c (13)
* distance to the lowest polymorph of the same formula: 0.0 meV per atom
* raw total energy: -2.894 eV/atom
* formation energy (no corrections): -1.842 eV/f.u.

Cell: 8.0247 7.8091 15.7635 Å, 90.00 93.73 90.00°
Element x y z (fractional)
Sb 0.0965 0.1072 0.1214
Sb 0.0965 0.8928 0.6214
Sb 0.9035 0.1072 0.3786
Sb 0.9035 0.8928 0.8786
Se 0.0380 0.4671 0.3186
Se 0.0380 0.5329 0.8186
Se 0.9620 0.4671 0.1814
Se 0.9620 0.5329 0.6814
Br 0.1428 0.1953 0.5484
Br 0.1428 0.8047 0.0484
Br 0.2484 0.0211 0.2660
Br 0.2484 0.9789 0.7660
Br 0.3438 0.2556 0.0593
Br 0.3438 0.7444 0.5593
Br 0.6562 0.2556 0.4407
Br 0.6562 0.7444 0.9407
Br 0.7516 0.0211 0.2340
Br 0.7516 0.9789 0.7340
Br 0.8572 0.1953 0.9516
Br 0.8572 0.8047 0.4516

=====

(7)
Density functional theory data (PBE) for a geometry-optimized Li2LaMn structure.

Properties
* calculated formation energy: 0.241 eV per atom
* symmetry: P4mm (99)
* distance to the lowest polymorph of the same formula: 0.0 meV per atom
* raw total energy: -4.241 eV/atom

Cell: 3.4878 3.4878 7.4319 Å, 90.00 90.00 90.00°
Element x y z (fractional)
Li 0.0000 0.0000 0.0000
Li 0.5000 0.5000 0.1993
La 0.5000 0.5000 0.6567
Mn 0.0000 0.0000 0.3935

=====

(8)
Density functional theory data (PBE) for a geometry-optimized Np4Ga12Ru structure.

Properties
* calculated formation energy: -0.250 eV per atom
* symmetry: Im-3m (229)
* raw total energy: -5.977 eV/atom

Cell: 7.4562 7.4562 7.4562 Å, 109.47 109.47 109.47°
Element x y z (fractional)
Np 0.0000 0.0000 0.5000
Np 0.0000 0.5000 0.0000
Np 0.5000 0.0000 0.0000
Np 0.5000 0.5000 0.5000
Ga 0.0000 0.2892 0.2892
Ga 0.0000 0.7108 0.7108
Ga 0.2500 0.5000 0.7500
Ga 0.2500 0.7500 0.5000
Ga 0.2892 0.0000 0.2892
Ga 0.2892 0.2892 0.0000
Ga 0.5000 0.2500 0.7500
Ga 0.5000 0.7500 0.2500
Ga 0.7108 0.0000 0.7108
Ga 0.7108 0.7108 0.0000
Ga 0.7500 0.2500 0.5000
Ga 0.7500 0.5000 0.2500
Ru 0.0000 0.0000 0.0000

=====

(9)
Density functional theory data (PBE) for a geometry-optimized Si2P structure.

Properties
* symmetry: P4/mmm (123)
* distance to the lowest polymorph of the same formula: 436.9 meV per atom
* raw total energy: -4.978 eV/atom
* formation energy (no corrections): 1.321 eV/f.u.

Cell: 3.6775 3.6775 3.6807 Å, 90.00 90.00 90.00°
Element x y z (fractional)
Si 0.0000 0.5000 0.0000
Si 0.5000 0.0000 0.0000
P 0.0000 0.0000 0.5000

=====

(10)
Density functional theory data (PBE) for a geometry-optimized CeMnFeSi2 structure.

Properties
* symmetry: I-4m2 (119)
* raw total energy: -7.479 eV/atom
* formation energy (no corrections): -2.982 eV/f.u.

Cell: 5.7629 5.7629 5.7629 Å, 139.88 139.88 58.03°
Element x y z (fractional)
Ce 0.0000 0.0000 0.0000
Mn 0.2500 0.7500 0.5000
Fe 0.7500 0.2500 0.5000
Si 0.3745 0.3745 0.0000
Si 0.6255 0.6255 0.0000

=====

(11)
Density functional theory data (PBE) for a geometry-optimized K3ScSb2 structure.

Properties
* symmetry: Ibam (72)
* raw total energy: -3.600 eV/atom
* formation energy (no corrections): -3.734 eV/f.u.

Cell: 9.6966 9.6966 9.6966 Å, 128.47 70.13 135.86°
Element x y z (fractional)
K 0.1852 0.6991 0.8843
K 0.2500 0.2500 0.0000
K 0.3148 0.1991 0.5138
K 0.6852 0.8009 0.4862
K 0.7500 0.7500 0.0000
K 0.8148 0.3009 0.1157
Sc 0.2500 0.7500 0.5000
Sc 0.7500 0.2500 0.5000
Sb 0.0987 0.3075 0.4062
Sb 0.4013 0.8075 0.2087
Sb 0.5987 0.1925 0.7913
Sb 0.9013 0.6925 0.5938

=====

(12)
Density functional theory data (PBE) for a geometry-optimized InSb2Au structure.

Properties
* symmetry: R-3m (166)
* raw total energy: -3.469 eV/atom
* formation energy (no corrections): 0.384 eV/f.u.

Cell: 10.0790 10.0790 10.0790 Å, 19.94 19.94 19.94°
Element x y z (fractional)
In 0.0000 0.0000 0.0000
Sb 0.2374 0.2374 0.2374
Sb 0.7626 0.7626 0.7626
Au 0.5000 0.5000 0.5000

=====

(13)
Density functional theory data (PBE) for a geometry-optimized Cd12As3O5 structure.

Properties
* symmetry: Ia-3d (230)
* raw total energy: -2.884 eV/atom
* formation energy (no corrections): -7.959 eV/f.u.

Cell: 12.8648 12.8648 12.8648 Å, 109.47 109.47 109.47°
Element x y z (fractional)
Cd 0.0275 0.2090 0.1135
Cd 0.0275 0.3185 0.9140
Cd 0.0860 0.6135 0.4045
Cd 0.0860 0.9725 0.6815
Cd 0.0955 0.7090 0.6815
Cd 0.0955 0.8865 0.4140
Cd 0.1135 0.0275 0.2090
Cd 0.1135 0.5860 0.9045
Cd 0.1815 0.2090 0.5955
Cd 0.1815 0.4725 0.5860
Cd 0.2090 0.1135 0.0275
Cd 0.2090 0.5955 0.1815
Cd 0.2910 0.3185 0.9045
Cd 0.2910 0.4725 0.3865
Cd 0.3185 0.9045 0.2910
Cd 0.3185 0.9140 0.0275
Cd 0.3865 0.2910 0.4725
Cd 0.3865 0.5955 0.9140
Cd 0.4045 0.0860 0.6135
Cd 0.4045 0.8185 0.7910
Cd 0.4140 0.0955 0.8865
Cd 0.4140 0.8185 0.5275
Cd 0.4725 0.3865 0.2910
Cd 0.4725 0.5860 0.1815
Cd 0.5275 0.4140 0.8185
Cd 0.5275 0.6135 0.7090
Cd 0.5860 0.1815 0.4725
Cd 0.5860 0.9045 0.1135
Cd 0.5955 0.1815 0.2090
Cd 0.5955 0.9140 0.3865
Cd 0.6135 0.4045 0.0860
Cd 0.6135 0.7090 0.5275
Cd 0.6815 0.0860 0.9725
Cd 0.6815 0.0955 0.7090
Cd 0.7090 0.5275 0.6135
Cd 0.7090 0.6815 0.0955
Cd 0.7910 0.4045 0.8185
Cd 0.7910 0.8865 0.9725
Cd 0.8185 0.5275 0.4140
Cd 0.8185 0.7910 0.4045
Cd 0.8865 0.4140 0.0955
Cd 0.8865 0.9725 0.7910
Cd 0.9045 0.1135 0.5860
Cd 0.9045 0.2910 0.3185
Cd 0.9140 0.0275 0.3185
Cd 0.9140 0.3865 0.5955
Cd 0.9725 0.6815 0.0860
Cd 0.9725 0.7910 0.8865
As 0.1250 0.2500 0.3750
As 0.1250 0.3750 0.7500
As 0.2500 0.3750 0.1250
As 0.2500 0.8750 0.6250
As 0.3750 0.1250 0.2500
As 0.3750 0.7500 0.1250
As 0.6250 0.2500 0.8750
As 0.6250 0.8750 0.7500
As 0.7500 0.1250 0.3750
As 0.7500 0.6250 0.8750
As 0.8750 0.6250 0.2500
As 0.8750 0.7500 0.6250
O 0.0000 0.0000 0.0000
O 0.0000 0.0000 0.5000
O 0.0000 0.5000 0.0000
O 0.0000 0.5000 0.5000
O 0.1250 0.7500 0.8750
O 0.1250 0.8750 0.2500
O 0.2500 0.1250 0.8750
O 0.2500 0.6250 0.3750
O 0.3750 0.2500 0.6250
O 0.3750 0.6250 0.7500
O 0.5000 0.0000 0.0000
O 0.5000 0.0000 0.5000
O 0.5000 0.5000 0.0000
O 0.5000 0.5000 0.5000
O 0.6250 0.3750 0.2500
O 0.6250 0.7500 0.3750
O 0.7500 0.3750 0.6250
O 0.7500 0.8750 0.1250
O 0.8750 0.1250 0.7500
O 0.8750 0.2500 0.1250

=====

(14)
Density functional theory data (PBE) for a geometry-optimized La4Sn2N structure.

Properties
* symmetry: P2_1/m (11)
* raw total energy: -6.061 eV/atom
* formation energy (no corrections): -6.384 eV/f.u.

Cell: 6.8446 7.0373 9.7127 Å, 90.00 110.01 90.00°
Element x y z (fractional)
La 0.1798 0.2500 0.0481
La 0.2411 0.5041 0.7208
La 0.2411 0.9959 0.7208
La 0.2726 0.7500 0.3443
La 0.7274 0.2500 0.6557
La 0.7589 0.0041 0.2792
La 0.7589 0.4959 0.2792
La 0.8202 0.7500 0.9519
Sn 0.2323 0.2500 0.4103
Sn 0.3435 0.7500 0.0352
Sn 0.6565 0.2500 0.9648
Sn 0.7677 0.7500 0.5897
N 0.0853 0.2500 0.7898
N 0.9147 0.7500 0.2102

=====

(15)
Density functional theory data (PBE) for a geometry-optimized TeSe2I2 structure.

Properties
* symmetry: P4/mbm (127)
* distance to the lowest polymorph of the same formula: 146.2 meV per atom
* raw total energy: -2.395 eV/atom
* formation energy (no corrections): 1.235 eV/f.u.

Cell: 8.5542 8.5542 6.2797 Å, 90.00 90.00 90.00°
Element x y z (fractional)
Te 0.0000 0.0000 0.0000
Te 0.5000 0.5000 0.0000
Se 0.0902 0.4098 0.5000
Se 0.4098 0.9098 0.5000
Se 0.5902 0.0902 0.5000
Se 0.9098 0.5902 0.5000
I 0.2216 0.2784 0.0000
I 0.2784 0.7784 0.0000
I 0.7216 0.2216 0.0000
I 0.7784 0.7216 0.0000

=====

(16)
Density functional theory data (PBE) for a geometry-optimized Nd3Ho5Er2 structure.

Properties
* calculated formation energy: 0.194 eV per atom
* symmetry: C2/c (15)
* distance to the lowest polymorph of the same formula: 0.0 meV per atom
* raw total energy: -4.438 eV/atom

Cell: 9.6080 9.6080 9.3889 Å, 108.33 108.33 112.47°
Element x y z (fractional)
Nd 0.0195 0.2675 0.0447
Nd 0.2347 0.7653 0.7500
Nd 0.2675 0.0195 0.5447
Nd 0.7325 0.9805 0.4553
Nd 0.7653 0.2347 0.2500
Nd 0.9805 0.7325 0.9553
Ho 0.0273 0.9727 0.7500
Ho 0.1507 0.3724 0.7704
Ho 0.2722 0.7278 0.2500
Ho 0.3724 0.1507 0.2704
Ho 0.4697 0.5303 0.2500
Ho 0.5303 0.4697 0.7500
Ho 0.6276 0.8493 0.7296
Ho 0.7278 0.2722 0.7500
Ho 0.8493 0.6276 0.2296
Ho 0.9727 0.0273 0.2500
Er 0.2318 0.4643 0.4529
Er 0.4643 0.2318 0.9529
Er 0.5357 0.7682 0.0471
Er 0.7682 0.5357 0.5471

=====

(17)
Density functional theory data (PBE) for a geometry-optimized KAgF3 structure.

Properties
* symmetry: P2_1/c (14)
* raw total energy: -3.737 eV/atom
* formation energy (no corrections): -9.124 eV/f.u.

Cell: 8.2066 5.8512 8.4736 Å, 90.00 121.05 90.00°
Element x y z (fractional)
K 0.1650 0.2498 0.0828
K 0.1650 0.2502 0.5828
K 0.8350 0.7498 0.4172
K 0.8350 0.7502 0.9172
Ag 0.3237 0.7305 0.4117
Ag 0.3237 0.7695 0.9117
Ag 0.6763 0.2305 0.0883
Ag 0.6763 0.2695 0.5883
F 0.0532 0.5885 0.2762
F 0.0532 0.9115 0.7762
F 0.3063 0.7485 0.6531
F 0.3063 0.7515 0.1531
F 0.3848 0.2094 0.4424
F 0.3848 0.2906 0.9424
F 0.6152 0.7094 0.0576
F 0.6152 0.7906 0.5576
F 0.6937 0.2485 0.8469
F 0.6937 0.2515 0.3469
F 0.9468 0.0885 0.2238
F 0.9468 0.4115 0.7238

=====

(18)
Density functional theory data (PBE) for a geometry-optimized BaTa2Cr structure.

Properties
* calculated formation energy: 0.634 eV per atom
* symmetry: Cmmm (65)
* distance to the lowest polymorph of the same formula: 0.0 meV per atom
* raw total energy: -8.179 eV/atom

Cell: 3.1843 3.1843 8.8160 Å, 90.00 90.00 95.63°
Element x y z (fractional)
Ba 0.0000 0.0000 0.0000
Ta 0.5000 0.5000 0.3397
Ta 0.5000 0.5000 0.6603
Cr 0.0000 0.0000 0.5000